Record 1
First-principles (PBE-GGA) data for Dy2GaSb after structural relaxation, as listed in the Alexandria database.

The structure in POSCAR format:
```
Dy2GaSb
1.0
4.3961 0.0000 0.0000
0.0000 23.3191 0.0000
0.0000 0.0000 4.2369
Dy Ga Sb
8 4 4
Direct
0.0000 0.0604 0.2500
0.0000 0.3224 0.2500
0.0000 0.6776 0.7500
0.0000 0.9396 0.7500
0.5000 0.1776 0.7500
0.5000 0.4396 0.7500
0.5000 0.5604 0.2500
0.5000 0.8224 0.2500
0.0000 0.4637 0.2500
0.0000 0.5363 0.7500
0.5000 0.0363 0.7500
0.5000 0.9637 0.2500
0.0000 0.1894 0.2500
0.0000 0.8106 0.7500
0.5000 0.3106 0.7500
0.5000 0.6894 0.2500
```

Results
* energy above the lowest structure with this stoichiometry: 0.000 eV per formula unit
* energy relative to the elements, uncorrected: -844 meV per atom
* energy: -4.932 eV/atom

***

Record 2
First-principles (PBE-GGA) data for DyGaSb2 after structural relaxation, as listed in the Alexandria database.

The structure in POSCAR format:
```
DyGaSb2
1.0
4.7814 0.0000 0.0000
0.0000 4.7814 0.0000
0.0000 0.0000 4.3622
Dy Ga Sb
1 1 2
Direct
0.0000 0.0000 0.0000
0.5000 0.5000 0.0000
0.0000 0.5000 0.5000
0.5000 0.0000 0.5000
```

Results
* energy above the lowest structure with this stoichiometry: 0.000 eV per formula unit
* energy relative to the elements, uncorrected: -449 meV per atom
* energy: -4.418 eV/atom

***

Record 3
First-principles (PBE-GGA) data for Dy2GaSb after structural relaxation, as listed in the Alexandria database.

The structure in POSCAR format:
```
Dy2GaSb
1.0
4.1486 0.0000 0.0000
-2.0743 3.5928 0.0000
0.0000 0.0000 22.4720
Dy Ga Sb
6 3 3
Direct
0.0000 0.0000 0.2495
0.0000 0.0000 0.7505
0.3333 0.6667 0.4172
0.3333 0.6667 0.9161
0.6667 0.3333 0.0839
0.6667 0.3333 0.5828
0.0000 0.0000 0.0000
0.3333 0.6667 0.6667
0.6667 0.3333 0.3333
0.0000 0.0000 0.5000
0.3333 0.6667 0.1667
0.6667 0.3333 0.8333
```

Results
* energy above the lowest structure with this stoichiometry: 0.621 eV per formula unit
* energy relative to the elements, uncorrected: -689 meV per atom
* energy: -4.777 eV/atom

***

Record 4
First-principles (PBE-GGA) data for Dy8GaSb3Te4 after structural relaxation, as listed in the Alexandria database.

The structure in POSCAR format:
```
Dy8GaSb3Te4
1.0
4.3547 2.5142 7.1308
-4.3547 2.5142 7.1308
0.0000 -5.0284 7.1308
Dy Ga Sb Te
8 1 3 4
Direct
0.2463 0.2463 0.2463
0.2577 0.7368 0.7368
0.2632 0.2632 0.7423
0.2632 0.7423 0.2632
0.7368 0.2577 0.7368
0.7368 0.7368 0.2577
0.7423 0.2632 0.2632
0.7537 0.7537 0.7537
0.5000 0.5000 0.5000
0.0000 0.0000 0.5000
0.0000 0.5000 0.0000
0.5000 0.0000 0.0000
0.0000 0.0000 0.0000
0.0000 0.5000 0.5000
0.5000 0.0000 0.5000
0.5000 0.5000 0.0000
```

Results
* energy relative to the elements, uncorrected: -1194 meV per atom
* energy: -5.242 eV/atom

***

Record 5
First-principles (PBE-GGA) data for Dy3Sc4Ga4 after structural relaxation, as listed in the Alexandria database.

The structure in POSCAR format:
```
Dy3Sc4Ga4
1.0
-2.3355 3.5415 7.6967
2.3355 -3.5415 7.6967
2.3355 3.5415 -7.6967
Dy Sc Ga
3 4 4
Direct
0.0000 0.0000 0.0000
0.3891 0.8891 0.5000
0.6109 0.1109 0.5000
0.0366 0.3248 0.7117
0.3869 0.6752 0.7117
0.6131 0.3248 0.2883
0.9634 0.6752 0.2883
0.1982 0.1982 0.0000
0.3093 0.5000 0.8093
0.6907 0.5000 0.1907
0.8018 0.8018 0.0000
```

Results
* DFT formation energy: -0.435 eV per atom
* energy: -5.093 eV/atom

***

Record 6
First-principles (PBE-GGA) data for Dy2ScGa6 after structural relaxation, as listed in the Alexandria database.

The structure in POSCAR format:
```
Dy2ScGa6
1.0
7.4379 0.0000 0.0000
-3.7189 6.4414 0.0000
0.0000 0.0000 3.7188
Dy Sc Ga
2 1 6
Direct
0.3333 0.6667 0.0000
0.6667 0.3333 0.0000
0.0000 0.0000 0.0000
0.0000 0.3305 0.5000
0.0000 0.6695 0.5000
0.3305 0.0000 0.5000
0.3305 0.3305 0.5000
0.6695 0.0000 0.5000
0.6695 0.6695 0.5000
```

Results
* energy above the lowest structure with this stoichiometry: 0.000 eV per formula unit
* DFT formation energy: -0.588 eV per atom
* energy: -4.333 eV/atom

***

Record 7
First-principles (PBE-GGA) data for Dy2Sc3Ga4 after structural relaxation, as listed in the Alexandria database.

The structure in POSCAR format:
```
Dy2Sc3Ga4
1.0
7.5651 0.0000 0.0000
0.0000 7.5718 0.0000
-2.2410 0.0000 6.9274
Dy Sc Ga
4 6 8
Direct
0.1934 0.1777 0.0719
0.1934 0.3223 0.5719
0.8066 0.6777 0.4281
0.8066 0.8223 0.9281
0.2466 0.6755 0.2485
0.2466 0.8245 0.7485
0.5000 0.0000 0.5000
0.5000 0.5000 0.0000
0.7534 0.1755 0.2515
0.7534 0.3245 0.7515
0.0799 0.5333 0.8635
0.0799 0.9667 0.3635
0.4953 0.1225 0.8725
0.4953 0.3775 0.3725
0.5047 0.6225 0.6275
0.5047 0.8775 0.1275
0.9201 0.0333 0.6365
0.9201 0.4667 0.1365
```

Results
* energy above the lowest structure with this stoichiometry: 0.000 eV per formula unit
* DFT formation energy: -0.623 eV per atom
* energy: -5.102 eV/atom

***

Record 8
First-principles (PBE-GGA) data for Dy3ScGa12 after structural relaxation, as listed in the Alexandria database.

The structure in POSCAR format:
```
Dy3ScGa12
1.0
4.2365 0.0000 0.0000
0.0000 4.2365 0.0000
0.0000 0.0000 16.9822
Dy Sc Ga
3 1 12
Direct
0.0000 0.0000 0.0000
0.0000 0.0000 0.2550
0.0000 0.0000 0.7450
0.0000 0.0000 0.5000
0.0000 0.5000 0.1271
0.0000 0.5000 0.3816
0.0000 0.5000 0.6184
0.0000 0.5000 0.8729
0.5000 0.0000 0.1271
0.5000 0.0000 0.3816
0.5000 0.0000 0.6184
0.5000 0.0000 0.8729
0.5000 0.5000 0.0000
0.5000 0.5000 0.2512
0.5000 0.5000 0.5000
0.5000 0.5000 0.7488
```

Results
* DFT formation energy: -0.520 eV per atom
* energy: -4.049 eV/atom

***

Record 9
First-principles (PBE-GGA) data for Dy2ScGa9 after structural relaxation, as listed in the Alexandria database.

The structure in POSCAR format:
```
Dy2ScGa9
1.0
4.2249 0.0000 0.0000
0.0000 4.2249 0.0000
0.0000 0.0000 12.6440
Dy Sc Ga
2 1 9
Direct
0.0000 0.0000 0.1707
0.0000 0.0000 0.8293
0.0000 0.0000 0.5000
0.0000 0.5000 0.0000
0.0000 0.5000 0.3408
0.0000 0.5000 0.6592
0.5000 0.0000 0.0000
0.5000 0.0000 0.3408
0.5000 0.0000 0.6592
0.5000 0.5000 0.1673
0.5000 0.5000 0.5000
0.5000 0.5000 0.8327
```

Results
* DFT formation energy: -0.524 eV per atom
* energy: -4.089 eV/atom

***

Record 10
First-principles (PBE-GGA) data for Dy3ScGa4 after structural relaxation, as listed in the Alexandria database.

The structure in POSCAR format:
```
Dy3ScGa4
1.0
3.5083 0.0000 0.0000
0.0000 3.5083 0.0000
0.0000 0.0000 14.1708
Dy Sc Ga
3 1 4
Direct
0.0000 0.0000 0.0000
0.0000 0.0000 0.2593
0.0000 0.0000 0.7407
0.0000 0.0000 0.5000
0.5000 0.5000 0.1303
0.5000 0.5000 0.3908
0.5000 0.5000 0.6092
0.5000 0.5000 0.8697
```

Results
* DFT formation energy: -0.587 eV per atom
* energy: -4.617 eV/atom

***

Record 11
First-principles (PBE-GGA) data for DyScGa6 after structural relaxation, as listed in the Alexandria database.

The structure in POSCAR format:
```
DyScGa6
1.0
4.1966 0.0000 0.0000
0.0000 4.1966 0.0000
0.0000 0.0000 8.3761
Dy Sc Ga
1 1 6
Direct
0.0000 0.0000 0.0000
0.0000 0.0000 0.5000
0.0000 0.5000 0.2587
0.0000 0.5000 0.7413
0.5000 0.0000 0.2587
0.5000 0.0000 0.7413
0.5000 0.5000 0.0000
0.5000 0.5000 0.5000
```

Results
* energy above the lowest structure with this stoichiometry: 0.000 eV per formula unit
* DFT formation energy: -0.519 eV per atom
* energy: -4.156 eV/atom

***

Record 12
First-principles (PBE-GGA) data for DySc5Ga2 after structural relaxation, as listed in the Alexandria database.

The structure in POSCAR format:
```
DySc5Ga2
1.0
4.2527 0.0000 0.0000
0.0000 8.7127 0.0000
0.0000 0.0000 10.2520
Dy Sc Ga
2 10 4
Direct
0.0000 0.0000 0.0000
0.5000 0.5000 0.5000
0.0000 0.1864 0.3433
0.0000 0.1864 0.6567
0.0000 0.5000 0.0000
0.0000 0.8136 0.3433
0.0000 0.8136 0.6567
0.5000 0.0000 0.5000
0.5000 0.3136 0.1567
0.5000 0.3136 0.8433
0.5000 0.6864 0.1567
0.5000 0.6864 0.8433
0.0000 0.5000 0.2785
0.0000 0.5000 0.7215
0.5000 0.0000 0.2215
0.5000 0.0000 0.7785
```

Results
* DFT formation energy: -0.246 eV per atom
* energy: -5.535 eV/atom

***

Record 13
First-principles (PBE-GGA) data for Dy2ScGa2 after structural relaxation, as listed in the Alexandria database.

The structure in POSCAR format:
```
Dy2ScGa2
1.0
7.4689 0.0000 0.0000
0.0000 7.4689 0.0000
0.0000 0.0000 4.2722
Dy Sc Ga
4 2 4
Direct
0.1753 0.3247 0.0000
0.3247 0.8247 0.0000
0.6753 0.1753 0.0000
0.8247 0.6753 0.0000
0.0000 0.0000 0.5000
0.5000 0.5000 0.5000
0.1234 0.6234 0.5000
0.3766 0.1234 0.5000
0.6234 0.8766 0.5000
0.8766 0.3766 0.5000
```

Results
* energy above the lowest structure with this stoichiometry: 0.000 eV per formula unit
* DFT formation energy: -0.551 eV per atom
* energy: -4.869 eV/atom

***

Record 14
First-principles (PBE-GGA) data for DySc3Ga4 after structural relaxation, as listed in the Alexandria database.

The structure in POSCAR format:
```
DySc3Ga4
1.0
9.6672 0.0000 0.0000
0.0000 6.8063 0.0000
0.0000 0.0000 4.8332
Dy Sc Ga
2 6 8
Direct
0.0000 0.0000 0.0000
0.5000 0.0000 0.0000
0.0000 0.5000 0.0000
0.2500 0.0000 0.4988
0.2500 0.5000 0.4984
0.5000 0.5000 0.0000
0.7500 0.0000 0.5012
0.7500 0.5000 0.5016
0.0000 0.2617 0.5000
0.0000 0.7383 0.5000
0.2500 0.2617 0.9983
0.2500 0.7383 0.9983
0.5000 0.2617 0.5000
0.5000 0.7383 0.5000
0.7500 0.2617 0.0017
0.7500 0.7383 0.0017
```

Results
* DFT formation energy: -0.581 eV per atom
* energy: -5.044 eV/atom

***

Record 15
First-principles (PBE-GGA) data for DySc5Ga4 after structural relaxation, as listed in the Alexandria database.

The structure in POSCAR format:
```
DySc5Ga4
1.0
3.3244 0.0000 0.0000
0.0000 3.3244 0.0000
0.0000 0.0000 18.7731
Dy Sc Ga
1 5 4
Direct
0.0000 0.0000 0.0000
0.5000 0.5000 0.1335
0.5000 0.5000 0.3165
0.5000 0.5000 0.5000
0.5000 0.5000 0.6835
0.5000 0.5000 0.8665
0.0000 0.0000 0.2237
0.0000 0.0000 0.4081
0.0000 0.0000 0.5919
0.0000 0.0000 0.7763
```

Results
* DFT formation energy: -0.471 eV per atom
* energy: -5.307 eV/atom

***

Record 16
First-principles (PBE-GGA) data for Dy3ScGa2 after structural relaxation, as listed in the Alexandria database.

The structure in POSCAR format:
```
Dy3ScGa2
1.0
-3.1204 7.8047 3.1115
3.1204 -7.8047 3.1115
3.1204 7.8047 -3.1115
Dy Sc Ga
6 2 4
Direct
0.1794 0.7432 0.9226
0.2500 0.2500 0.0000
0.3206 0.2432 0.5638
0.6794 0.7568 0.4362
0.7500 0.7500 0.0000
0.8206 0.2568 0.0774
0.2500 0.7500 0.5000
0.7500 0.2500 0.5000
0.1300 0.2599 0.3900
0.3700 0.7599 0.1299
0.6300 0.2401 0.8701
0.8700 0.7401 0.6100
```

Results
* DFT formation energy: -0.388 eV per atom
* energy: -4.754 eV/atom

***

Record 17
First-principles (PBE-GGA) data for Dy2ScGa6 after structural relaxation, as listed in the Alexandria database.

The structure in POSCAR format:
```
Dy2ScGa6
1.0
-2.1181 3.4003 6.7458
2.1181 -3.4003 6.7458
2.1181 3.4003 -6.7458
Dy Sc Ga
2 1 6
Direct
0.1239 0.1239 0.0000
0.8761 0.8761 0.0000
0.5000 0.0000 0.5000
0.1230 0.3146 0.8084
0.2036 0.5000 0.7036
0.4938 0.6854 0.8084
0.5062 0.3146 0.1916
0.7964 0.5000 0.2964
0.8770 0.6854 0.1916
```

Results
* energy above the lowest structure with this stoichiometry: 1.565 eV per formula unit
* DFT formation energy: -0.415 eV per atom
* energy: -4.159 eV/atom

***

Record 18
First-principles (PBE-GGA) data for Dy2Sc3Ga4 after structural relaxation, as listed in the Alexandria database.

The structure in POSCAR format:
```
Dy2Sc3Ga4
1.0
3.2175 -7.6410 0.0000
3.2175 7.6410 0.0000
0.0000 0.0000 8.1863
Dy Sc Ga
4 6 8
Direct
0.1102 0.8898 0.9170
0.3898 0.6102 0.4170
0.6102 0.3898 0.5830
0.8898 0.1102 0.0830
0.0000 0.0000 0.5000
0.0366 0.4634 0.7500
0.4634 0.0366 0.2500
0.5000 0.5000 0.0000
0.5366 0.9634 0.7500
0.9634 0.5366 0.2500
0.1860 0.8140 0.5436
0.2157 0.2843 0.7500
0.2843 0.2157 0.2500
0.3140 0.6860 0.0436
0.6860 0.3140 0.9564
0.7157 0.7843 0.7500
0.7843 0.7157 0.2500
0.8140 0.1860 0.4564
```

Results
* energy above the lowest structure with this stoichiometry: 1.463 eV per formula unit
* DFT formation energy: -0.461 eV per atom
* energy: -4.939 eV/atom

***

Record 19
First-principles (PBE-GGA) data for DyScGa6 after structural relaxation, as listed in the Alexandria database.

The structure in POSCAR format:
```
DyScGa6
1.0
6.0631 0.0000 0.0000
-3.0316 5.2508 0.0000
0.0000 0.0000 4.6640
Dy Sc Ga
1 1 6
Direct
0.0000 0.0000 0.0000
0.3333 0.6667 0.5000
0.3668 0.1834 0.5000
0.5101 0.0202 0.0000
0.5101 0.4899 0.0000
0.8166 0.1834 0.5000
0.8166 0.6332 0.5000
0.9798 0.4899 0.0000
```

Results
* energy above the lowest structure with this stoichiometry: 0.392 eV per formula unit
* DFT formation energy: -0.470 eV per atom
* energy: -4.107 eV/atom

***

Record 20
First-principles (PBE-GGA) data for Dy2ScGa2 after structural relaxation, as listed in the Alexandria database.

The structure in POSCAR format:
```
Dy2ScGa2
1.0
4.3367 0.0000 0.0000
0.0000 6.2254 0.0000
0.0000 0.0000 8.8777
Dy Sc Ga
4 2 4
Direct
0.0000 0.0000 0.2026
0.0000 0.0000 0.7974
0.5000 0.5000 0.2974
0.5000 0.5000 0.7026
0.0000 0.5000 0.0000
0.5000 0.0000 0.5000
0.0000 0.2897 0.5000
0.0000 0.7103 0.5000
0.5000 0.2103 0.0000
0.5000 0.7897 0.0000
```

Results
* energy above the lowest structure with this stoichiometry: 0.149 eV per formula unit
* DFT formation energy: -0.521 eV per atom
* energy: -4.839 eV/atom

***

Record 21
First-principles (PBE-GGA) data for SmDyScGa after structural relaxation, as listed in the Alexandria database.

The structure in POSCAR format:
```
SmDyScGa
1.0
7.4147 0.0000 0.0000
0.0000 7.4147 0.0000
0.0000 0.0000 7.4147
Sm Dy Sc Ga
4 4 4 4
Direct
0.0000 0.0000 0.0000
0.0000 0.5000 0.5000
0.5000 0.0000 0.5000
0.5000 0.5000 0.0000
0.0000 0.0000 0.5000
0.0000 0.5000 0.0000
0.5000 0.0000 0.0000
0.5000 0.5000 0.5000
0.2500 0.2500 0.2500
0.2500 0.7500 0.7500
0.7500 0.2500 0.7500
0.7500 0.7500 0.2500
0.2500 0.2500 0.7500
0.2500 0.7500 0.2500
0.7500 0.2500 0.2500
0.7500 0.7500 0.7500
```

Results
* DFT formation energy: -0.145 eV per atom
* energy: -4.814 eV/atom

***

Record 22
First-principles (PBE-GGA) data for TbDyScGa after structural relaxation, as listed in the Alexandria database.

The structure in POSCAR format:
```
TbDyScGa
1.0
7.3675 0.0000 0.0000
0.0000 7.3675 0.0000
0.0000 0.0000 7.3675
Tb Dy Sc Ga
4 4 4 4
Direct
0.0000 0.0000 0.0000
0.0000 0.5000 0.5000
0.5000 0.0000 0.5000
0.5000 0.5000 0.0000
0.0000 0.0000 0.5000
0.0000 0.5000 0.0000
0.5000 0.0000 0.0000
0.5000 0.5000 0.5000
0.2500 0.2500 0.7500
0.2500 0.7500 0.2500
0.7500 0.2500 0.2500
0.7500 0.7500 0.7500
0.2500 0.2500 0.2500
0.2500 0.7500 0.7500
0.7500 0.2500 0.7500
0.7500 0.7500 0.2500
```

Results
* DFT formation energy: -0.145 eV per atom
* energy: -4.792 eV/atom